[1]
A relaxed structure of La5BiRh2. Source: Alexandria via LeMat-Bulk, functional PBE.

Computed properties:
size of the total moment: 0.00 μB per formula unit
Fermi-level density of states: 8.4 states/eV/f.u.

a = 8.2051 Å, b = 8.2051 Å, c = 9.1230 Å
α = 116.72°, β = 116.72°, γ = 90.00°
Last column: nearest neighbours and their distance in Å.
Fractional positions:
La (0.5226, 0.7091, 0.7317)  3 Rh 2.98-3.12
La (0.7909, 0.9774, 0.2683)  3 Rh 2.98-3.12
La (0.0000, 0.0000, 0.0000)  4 Rh 3.15, 2 Bi 3.52
La (0.5000, 0.5000, 0.0000)  4 Rh 3.15, 2 Bi 3.52
La (0.2091, 0.0226, 0.7317)  3 Rh 2.98-3.12
La (0.7091, 0.2091, 0.7317)  3 Rh 2.98-3.12
La (0.0226, 0.5226, 0.7317)  3 Rh 2.98-3.12
La (0.2909, 0.7909, 0.2683)  3 Rh 2.98-3.12
La (0.9774, 0.4774, 0.2683)  3 Rh 2.98-3.12
La (0.4774, 0.2909, 0.2683)  3 Rh 2.98-3.12
Bi (0.7500, 0.7500, 0.5000)  10 La 3.50-3.52
Bi (0.2500, 0.2500, 0.5000)  10 La 3.50-3.52
Rh (0.1450, 0.3550, 0.0000)  8 La 2.98-3.15
Rh (0.6450, 0.1450, 0.0000)  8 La 2.98-3.15
Rh (0.3550, 0.8550, 0.0000)  8 La 2.98-3.15
Rh (0.8550, 0.6450, 0.0000)  8 La 2.98-3.15

[2]
A relaxed structure of La2BiRh. Source: Alexandria via LeMat-Bulk, functional PBE.

Computed properties:
size of the total moment: 0.00 μB per formula unit

a = 4.4830 Å, b = 4.4830 Å, c = 7.6257 Å
α = 72.91°, β = 72.91°, γ = 60.00°
Last column: nearest neighbours and their distance in Å.
Fractional positions:
La (0.0708, 0.0708, 0.7875)  3 Rh 3.05, 3 Bi 3.34
La (0.2648, 0.2648, 0.2056)  3 Rh 2.93
Bi (0.5020, 0.5020, 0.4941)  6 La 3.31-3.34, 1 Rh 3.45
Rh (0.6624, 0.6624, 0.0128)  6 La 2.93-3.05

[3]
A relaxed structure of La3Bi5Rh6. Source: Alexandria via LeMat-Bulk, functional PBE.

Computed properties:
size of the total moment: 0.00 μB per formula unit
Fermi-level density of states: 9.9 states/eV/f.u.

a = 4.5321 Å, b = 10.4184 Å, c = 13.7915 Å
α = 90.00°, β = 90.00°, γ = 90.00°
Last column: nearest neighbours and their distance in Å.
Fractional positions:
La (0.0000, 0.2554, 0.6824)  5 Rh 3.16-3.43, 6 Bi 3.39-3.45
La (0.5000, 0.7446, 0.1824)  5 Rh 3.16-3.43, 6 Bi 3.39-3.45
La (0.5000, 0.7446, 0.8176)  5 Rh 3.16-3.43, 6 Bi 3.39-3.45
La (0.0000, 0.2413, 0.0000)  10 Rh 3.31-3.67, 6 Bi 3.33-3.51
La (0.5000, 0.7587, 0.5000)  10 Rh 3.31-3.67, 6 Bi 3.33-3.51
La (0.0000, 0.2554, 0.3176)  5 Rh 3.16-3.43, 6 Bi 3.39-3.45
Bi (0.0000, 0.5109, 0.8699)  5 Rh 2.79-2.91
Bi (0.0000, 0.8862, 0.6691)  5 Rh 2.66-2.81
Bi (0.0000, 0.8070, 0.0000)  4 Rh 2.69-2.82
Bi (0.5000, 0.4891, 0.6301)  5 Rh 2.79-2.91
Bi (0.5000, 0.1930, 0.5000)  4 Rh 2.69-2.82
Bi (0.0000, 0.5109, 0.1301)  5 Rh 2.79-2.91
Bi (0.5000, 0.4891, 0.3699)  5 Rh 2.79-2.91
Bi (0.0000, 0.8862, 0.3309)  5 Rh 2.66-2.81
Bi (0.5000, 0.1138, 0.8309)  5 Rh 2.66-2.81
Bi (0.5000, 0.1138, 0.1691)  5 Rh 2.66-2.81
Rh (0.0000, 0.9843, 0.8585)  4 Bi 2.66-2.81
Rh (0.5000, 0.0157, 0.6415)  4 Bi 2.66-2.81
Rh (0.5000, 0.3725, 0.8156)  4 Bi 2.70-2.83, 1 Rh 2.78
Rh (0.5000, 0.4805, 0.0000)  2 Rh 2.78, 4 Bi 2.91
Rh (0.0000, 0.5195, 0.5000)  2 Rh 2.78, 4 Bi 2.91
Rh (0.0000, 0.6275, 0.6844)  4 Bi 2.70-2.83, 1 Rh 2.78
Rh (0.0000, 0.6275, 0.3156)  4 Bi 2.70-2.83, 1 Rh 2.78
Rh (0.5000, 0.9679, 0.0000)  4 Bi 2.78-2.82, 4 Rh 3.00
Rh (0.0000, 0.9843, 0.1415)  4 Bi 2.66-2.81
Rh (0.5000, 0.3725, 0.1844)  4 Bi 2.70-2.83, 1 Rh 2.78
Rh (0.0000, 0.0321, 0.5000)  4 Bi 2.78-2.82, 4 Rh 3.00
Rh (0.5000, 0.0157, 0.3585)  4 Bi 2.66-2.81

[4]
A relaxed structure of La2BiRh. Source: Alexandria via LeMat-Bulk, functional PBE.

Computed properties:
size of the total moment: 0.00 μB per formula unit
Fermi-level density of states: 1.6 states/eV/f.u.

a = 4.4224 Å, b = 4.4224 Å, c = 7.7653 Å
α = 73.46°, β = 73.46°, γ = 60.00°
Last column: nearest neighbours and their distance in Å.
Fractional positions:
Rh (0.0000, 0.0000, 0.0000)  6 La 3.00
Bi (0.5000, 0.5000, 0.5000)  6 La 3.31
La (0.2622, 0.2622, 0.2135)  3 Rh 3.00, 3 Bi 3.31
La (0.7378, 0.7378, 0.7865)  3 Rh 3.00, 3 Bi 3.31

[5]
A relaxed structure of La3Bi4Rh3. Source: Alexandria via LeMat-Bulk, functional PBE.

Computed properties:
size of the total moment: 0.00 μB per formula unit
Fermi-level density of states: 10.8 states/eV/f.u.

a = 8.7998 Å, b = 8.7998 Å, c = 8.7998 Å
α = 109.47°, β = 109.47°, γ = 109.47°
Last column: nearest neighbours and their distance in Å.
Fractional positions:
La (0.6250, 0.7500, 0.8750)  4 Rh 3.11, 4 Bi 3.48
La (0.8750, 0.2500, 0.6250)  4 Rh 3.11, 4 Bi 3.48
La (0.1250, 0.3750, 0.2500)  4 Rh 3.11, 4 Bi 3.48
La (0.3750, 0.1250, 0.7500)  4 Rh 3.11, 4 Bi 3.48
La (0.2500, 0.8750, 0.1250)  4 Rh 3.11, 4 Bi 3.48
La (0.7500, 0.6250, 0.3750)  4 Rh 3.11, 4 Bi 3.48
Bi (0.0000, 0.0000, 0.3393)  3 Rh 2.83
Bi (0.5000, 0.3393, 0.5000)  3 Rh 2.83
Bi (0.6607, 0.1607, 0.1607)  3 Rh 2.83
Bi (0.0000, 0.0000, 0.8393)  3 Rh 2.83
Bi (0.8393, 0.5000, 0.0000)  3 Rh 2.83
Bi (0.5000, 0.8393, 0.5000)  3 Rh 2.83
Bi (0.3393, 0.5000, 0.0000)  3 Rh 2.83
Bi (0.1607, 0.6607, 0.6607)  3 Rh 2.83
Rh (0.1250, 0.7500, 0.3750)  4 Bi 2.83, 4 La 3.11
Rh (0.3750, 0.2500, 0.1250)  4 Bi 2.83, 4 La 3.11
Rh (0.6250, 0.8750, 0.2500)  4 Bi 2.83, 4 La 3.11
Rh (0.8750, 0.6250, 0.7500)  4 Bi 2.83, 4 La 3.11
Rh (0.2500, 0.3750, 0.6250)  4 Bi 2.83, 4 La 3.11
Rh (0.7500, 0.1250, 0.8750)  4 Bi 2.83, 4 La 3.11

[6]
A relaxed structure of LaBiRh2. Source: Alexandria via LeMat-Bulk, functional PBE.

Computed properties:
size of the total moment: 0.00 μB per formula unit
Fermi-level density of states: 3.3 states/eV/f.u.

a = 4.6650 Å, b = 7.1696 Å, c = 10.5036 Å
α = 90.00°, β = 90.00°, γ = 90.00°
Last column: nearest neighbours and their distance in Å.
Fractional positions:
La (0.7500, 0.7117, 0.6532)  4 Rh 2.84-3.07
La (0.2500, 0.7883, 0.1532)  4 Rh 2.84-3.07
La (0.2500, 0.2883, 0.3468)  4 Rh 2.84-3.07
La (0.7500, 0.2117, 0.8468)  4 Rh 2.84-3.07
Bi (0.7500, 0.9452, 0.3631)  5 Rh 2.78-2.94
Bi (0.2500, 0.5548, 0.8631)  5 Rh 2.78-2.94
Bi (0.2500, 0.0548, 0.6369)  5 Rh 2.78-2.94
Bi (0.7500, 0.4452, 0.1369)  5 Rh 2.78-2.94
Rh (0.7500, 0.2289, 0.5546)  3 Rh 2.74-2.87, 3 Bi 2.78-2.86
Rh (0.2500, 0.2711, 0.0546)  3 Rh 2.74-2.87, 3 Bi 2.78-2.86
Rh (0.2500, 0.7711, 0.4454)  3 Rh 2.74-2.87, 3 Bi 2.78-2.86
Rh (0.7500, 0.7289, 0.9454)  3 Rh 2.74-2.87, 3 Bi 2.78-2.86
Rh (0.7500, 0.5447, 0.4084)  3 Rh 2.74-2.87, 3 La 2.84-3.04, 2 Bi 2.91-2.94
Rh (0.2500, 0.9553, 0.9084)  3 Rh 2.74-2.87, 3 La 2.84-3.04, 2 Bi 2.91-2.94
Rh (0.2500, 0.4553, 0.5916)  3 Rh 2.74-2.87, 3 La 2.84-3.04, 2 Bi 2.91-2.94
Rh (0.7500, 0.0447, 0.0916)  3 Rh 2.74-2.87, 3 La 2.84-3.04, 2 Bi 2.91-2.94

[7]
A relaxed structure of La3BiRh. Source: Alexandria via LeMat-Bulk, functional PBE.

Computed properties:
size of the total moment: 0.00 μB per formula unit
Fermi-level density of states: 4.9 states/eV/f.u.
distance to the lowest polymorph of the same formula: 115 meV/atom

a = 4.3332 Å, b = 9.0404 Å, c = 9.0407 Å
α = 70.49°, β = 90.00°, γ = 90.00°
Last column: nearest neighbours and their distance in Å.
Fractional positions:
La (0.8635, 0.3726, 0.8208)  2 Rh 2.91
La (0.8634, 0.0156, 0.6721)  2 Rh 2.91
La (0.8630, 0.6198, 0.0679)  2 Rh 2.91
La (0.3632, 0.0168, 0.0691)  2 Rh 2.82
La (0.8631, 0.7686, 0.4249)  2 Rh 2.91
La (0.3632, 0.3715, 0.4238)  2 Rh 2.82
Bi (0.3632, 0.6942, 0.7464)  8 La 3.51
Bi (0.8632, 0.1942, 0.2464)  8 La 3.40-3.64
Rh (0.3630, 0.6941, 0.2464)  6 La 2.82-2.91
Rh (0.3634, 0.1941, 0.7464)  6 La 2.82-2.91

[8]
A relaxed structure of La2Bi3Rh4. Source: Alexandria via LeMat-Bulk, functional PBE.

Computed properties:
size of the total moment: 0.00 μB per formula unit
Fermi-level density of states: 5.1 states/eV/f.u.

a = 6.3848 Å, b = 7.4106 Å, c = 9.1115 Å
α = 90.00°, β = 110.51°, γ = 90.00°
Last column: nearest neighbours and their distance in Å.
Fractional positions:
La (0.1011, 0.5793, 0.2022)  3 Rh 2.95-3.15
La (0.8989, 0.4207, 0.7978)  3 Rh 2.95-3.15
La (0.3989, 0.0793, 0.7978)  3 Rh 2.95-3.15
La (0.6011, 0.9207, 0.2022)  3 Rh 2.95-3.15
Bi (0.0000, 0.0000, 0.0000)  6 Rh 2.76-2.81
Bi (0.5000, 0.5000, 0.0000)  6 Rh 2.76-2.81
Bi (0.5109, 0.7500, 0.5219)  5 Rh 2.80-2.86
Bi (0.9891, 0.2500, 0.4781)  5 Rh 2.80-2.86
Bi (0.4891, 0.2500, 0.4781)  5 Rh 2.80-2.86
Bi (0.0109, 0.7500, 0.5219)  5 Rh 2.80-2.86
Rh (0.6751, 0.7500, 0.8502)  3 Bi 2.76-2.80, 2 La 2.95, 2 Rh 2.99
Rh (0.8249, 0.2500, 0.1498)  3 Bi 2.76-2.80, 2 La 2.95, 2 Rh 2.99
Rh (0.3249, 0.2500, 0.1498)  3 Bi 2.76-2.80, 2 La 2.95, 2 Rh 2.99
Rh (0.1751, 0.7500, 0.8502)  3 Bi 2.76-2.80, 2 La 2.95, 2 Rh 2.99
Rh (0.1644, 0.9791, 0.3288)  5 Bi 2.81-2.86, 2 Rh 2.99
Rh (0.8356, 0.0209, 0.6712)  5 Bi 2.81-2.86, 2 Rh 2.99
Rh (0.3356, 0.4791, 0.6712)  5 Bi 2.81-2.86, 2 Rh 2.99
Rh (0.6644, 0.5209, 0.3288)  5 Bi 2.81-2.86, 2 Rh 2.99

[9]
A relaxed structure of LaBiRh3. Source: Alexandria via LeMat-Bulk, functional PBE.

Computed properties:
size of the total moment: 0.00 μB per formula unit
Fermi-level density of states: 2.5 states/eV/f.u.
distance to the lowest polymorph of the same formula: 0 meV/atom

a = 5.7338 Å, b = 9.1377 Å, c = 6.6526 Å
α = 133.38°, β = 115.53°, γ = 90.00°
Last column: nearest neighbours and their distance in Å.
Fractional positions:
La (0.2500, 0.2619, 0.5000)  5 Rh 2.70-3.01
La (0.7500, 0.7381, 0.5000)  5 Rh 2.70-3.01
Bi (0.0000, 0.5000, 0.0000)  6 Rh 2.73-2.77
Bi (0.5000, 0.0000, 0.0000)  6 Rh 2.73-2.77
Rh (0.8063, 0.3063, 0.1126)  2 Bi 2.73, 5 Rh 2.80-3.02, 2 La 3.01
Rh (0.3063, 0.3063, 0.1126)  2 Bi 2.73, 5 Rh 2.80-3.02, 2 La 3.01
Rh (0.6937, 0.6937, 0.8874)  2 Bi 2.73, 5 Rh 2.80-3.02, 2 La 3.01
Rh (0.1937, 0.6937, 0.8874)  2 Bi 2.73, 5 Rh 2.80-3.02, 2 La 3.01
Rh (0.2500, 0.9660, 0.5000)  1 La 2.70, 2 Bi 2.77, 6 Rh 2.80-2.93
Rh (0.7500, 0.0340, 0.5000)  1 La 2.70, 2 Bi 2.77, 6 Rh 2.80-2.93

[10]
A relaxed structure of La2Bi2Rh3. Source: Alexandria via LeMat-Bulk, functional PBE.

Computed properties:
size of the total moment: 0.00 μB per formula unit
Fermi-level density of states: 4.0 states/eV/f.u.

a = 7.6741 Å, b = 7.6741 Å, c = 7.6741 Å
α = 109.47°, β = 109.47°, γ = 109.47°
Last column: nearest neighbours and their distance in Å.
Fractional positions:
La (0.0000, 0.0000, 0.4770)  3 Rh 2.85
La (0.5000, 0.4770, 0.5000)  3 Rh 2.85
La (0.5230, 0.0230, 0.0230)  3 Rh 2.85
La (0.9770, 0.5000, 0.0000)  3 Rh 2.85
Bi (0.0000, 0.0000, 0.9083)  3 Rh 2.72
Bi (0.5000, 0.9083, 0.5000)  3 Rh 2.72
Bi (0.0917, 0.5917, 0.5917)  3 Rh 2.72
Bi (0.4083, 0.5000, 0.0000)  3 Rh 2.72
Rh (0.7729, 0.7500, 0.0229)  2 Bi 2.72, 2 La 2.85, 4 Rh 3.00
Rh (0.7271, 0.2500, 0.4771)  2 Bi 2.72, 2 La 2.85, 4 Rh 3.00
Rh (0.9771, 0.2271, 0.2500)  2 Bi 2.72, 2 La 2.85, 4 Rh 3.00
Rh (0.5229, 0.2729, 0.7500)  2 Bi 2.72, 2 La 2.85, 4 Rh 3.00
Rh (0.2500, 0.0229, 0.2729)  2 Bi 2.72, 2 La 2.85, 4 Rh 3.00
Rh (0.7500, 0.4771, 0.2271)  2 Bi 2.72, 2 La 2.85, 4 Rh 3.00

[11]
A relaxed structure of La2BiRh3. Source: Alexandria via LeMat-Bulk, functional PBE.

Computed properties:
size of the total moment: 0.00 μB per formula unit
Fermi-level density of states: 7.9 states/eV/f.u.
distance to the lowest polymorph of the same formula: 78 meV/atom

a = 6.2036 Å, b = 6.2036 Å, c = 8.6808 Å
α = 108.57°, β = 108.57°, γ = 96.24°
Last column: nearest neighbours and their distance in Å.
Fractional positions:
La (0.2500, 0.7500, 0.5000)  8 Rh 3.28-3.42, 4 Bi 3.33
La (0.7550, 0.7550, 0.0000)  10 Rh 3.12-3.39, 2 Bi 3.34
La (0.7500, 0.2500, 0.5000)  8 Rh 3.28-3.42, 4 Bi 3.33
La (0.2450, 0.2450, 0.0000)  10 Rh 3.12-3.39, 2 Bi 3.34
Bi (0.6698, 0.6698, 0.3396)  3 Rh 2.67
Bi (0.3302, 0.3302, 0.6604)  3 Rh 2.67
Rh (0.3320, 0.8349, 0.1669)  2 Rh 2.55, 1 Bi 2.67
Rh (0.1651, 0.6680, 0.8331)  2 Rh 2.55, 1 Bi 2.67
Rh (0.6680, 0.1651, 0.8331)  2 Rh 2.55, 1 Bi 2.67
Rh (0.8349, 0.3320, 0.1669)  2 Rh 2.55, 1 Bi 2.67
Rh (0.1554, 0.1554, 0.3107)  2 Rh 2.55, 1 Bi 2.67
Rh (0.8446, 0.8446, 0.6893)  2 Rh 2.55, 1 Bi 2.67

[12]
A relaxed structure of La2Bi5Rh3. Source: Alexandria via LeMat-Bulk, functional PBE.

Computed properties:
size of the total moment: 0.00 μB per formula unit
Fermi-level density of states: 4.2 states/eV/f.u.

a = 4.7405 Å, b = 7.6987 Å, c = 13.9864 Å
α = 90.00°, β = 99.76°, γ = 90.00°
Last column: nearest neighbours and their distance in Å.
Fractional positions:
La (0.4737, 0.7658, 0.9474)  1 Rh 2.82
La (0.1681, 0.7295, 0.3362)  8 Bi 3.33-3.69, 2 Rh 3.43
La (0.8319, 0.2295, 0.6637)  8 Bi 3.33-3.69, 2 Rh 3.43
La (0.5263, 0.2658, 0.0526)  1 Rh 2.82
Bi (0.4045, 0.3886, 0.8089)  3 Rh 2.75-2.92
Bi (0.2865, 0.5059, 0.5731)  3 Rh 2.82-2.86
Bi (0.7135, 0.0059, 0.4269)  3 Rh 2.82-2.86
Bi (0.1222, 0.2553, 0.2445)  4 Rh 2.90-3.12
Bi (0.2968, 0.9290, 0.5937)  4 Rh 2.84-2.99
Bi (0.9541, 0.0971, 0.9083)  4 Rh 2.84-2.92
Bi (0.7032, 0.4290, 0.4063)  4 Rh 2.84-2.99
Bi (0.8778, 0.7553, 0.7555)  4 Rh 2.90-3.12
Bi (0.0459, 0.5971, 0.0917)  4 Rh 2.84-2.92
Bi (0.5955, 0.8886, 0.1911)  3 Rh 2.75-2.92
Rh (0.7727, 0.7076, 0.5453)  7 Bi 2.82-2.99
Rh (0.6025, 0.5097, 0.2051)  1 La 2.82, 6 Bi 2.84-3.12
Rh (0.0514, 0.9763, 0.1027)  5 Bi 2.75-2.92
Rh (0.2273, 0.2076, 0.4547)  7 Bi 2.82-2.99
Rh (0.9486, 0.4763, 0.8973)  5 Bi 2.75-2.92
Rh (0.3975, 0.0097, 0.7949)  1 La 2.82, 6 Bi 2.84-3.12

For the records above, the corresponding total energy values read -6.10, -5.99, -6.15, -6.01, -5.97, -6.43, -5.88, -6.22, -6.58, -6.37, -6.45, -5.69 eV per atom.
For the records above, the corresponding ΔH_f (0 K) values read -0.69, -0.72, -0.56, -0.74, -0.73, -0.56, -0.68, -0.57, -0.40, -0.71, -0.49, -0.56 eV/atom.